[1]
Compound: CrHPdW2
Source: the Alexandria database
Functional: GGA-PBE
Structure: relaxed

It has space group P4/mmm (No. 123), with a = 3.9727 Å, b = 3.9727 Å, c = 3.8676 Å, α = 90.00°, β = 90.00° and γ = 90.00°. The distinct sites, in fractional coordinates, are Cr at (0.0000, 0.0000, 0.0000), H at (0.0000, 0.0000, 0.5000), Pd at (0.5000, 0.5000, 0.0000) and W at (0.0000, 0.5000, 0.5000).

For the spin magnetization, the calculation gives 0.002 μB/cell. The calculation puts the volume at 12.2 Å³ per atom. As for the electronic total energy: -8.639 eV per atom.

=====

[2]
Compound: ZnCrHPd2
Source: the Alexandria database
Functional: GGA-PBE
Structure: relaxed

It has space group P4/mmm (No. 123), with a = 4.0177 Å, b = 4.0177 Å, c = 3.8757 Å, α = 90.00°, β = 90.00° and γ = 90.00°. The distinct sites, in fractional coordinates, are Zn at (0.0000, 0.0000, 0.0000), Cr at (0.5000, 0.5000, 0.0000), H at (0.5000, 0.5000, 0.5000) and Pd at (0.0000, 0.5000, 0.5000).

For the spin magnetization, the calculation gives 4.364 μB/cell. The calculation puts the volume at 12.5 Å³ per atom. As for the electronic total energy: -5.098 eV per atom.

=====

[3]
Compound: Zn2CrHPd
Source: the Alexandria database
Functional: GGA-PBE
Structure: relaxed

It has space group P4/mmm (No. 123), with a = 4.1957 Å, b = 4.1957 Å, c = 3.4185 Å, α = 90.00°, β = 90.00° and γ = 90.00°. The distinct sites, in fractional coordinates, are Zn at (0.0000, 0.5000, 0.0000), Cr at (0.0000, 0.0000, 0.5000), H at (0.0000, 0.0000, 0.0000) and Pd at (0.5000, 0.5000, 0.5000).

For the spin magnetization, the calculation gives 2.983 μB/cell. The calculation puts the volume at 12.0 Å³ per atom. As for the electronic total energy: -4.190 eV per atom.

=====

[4]
Compound: ZrCr2HPd
Source: the Alexandria database
Functional: GGA-PBE
Structure: relaxed

It has space group P4/mmm (No. 123), with a = 3.9408 Å, b = 3.9408 Å, c = 4.2065 Å, α = 90.00°, β = 90.00° and γ = 90.00°. The distinct sites, in fractional coordinates, are Zr at (0.0000, 0.0000, 0.0000), Cr at (0.0000, 0.5000, 0.5000), H at (0.0000, 0.0000, 0.5000) and Pd at (0.5000, 0.5000, 0.0000).

For the spin magnetization, the calculation gives 4.532 μB/cell. The calculation puts the volume at 13.1 Å³ per atom. As for the electronic total energy: -7.259 eV per atom.

=====

[5]
Compound: PmCr2H7
Source: the Alexandria database
Functional: GGA-PBE
Structure: relaxed

It has space group Cmmm (No. 65), with a = 5.1439 Å, b = 9.3498 Å, c = 3.3653 Å, α = 90.00°, β = 90.00° and γ = 90.00°. The distinct sites, in fractional coordinates, are Pm at (0.0000, 0.0000, 0.0000), Cr at (0.0000, 0.3173, 0.5000), H at (0.0000, 0.3646, 0.0000), H at (0.0000, 0.5000, 0.5000) and H at (0.1725, 0.1503, 0.5000).

For the spin magnetization, the calculation gives 9.496 μB/cell. The calculation puts the volume at 8.1 Å³ per atom. As for the electronic total energy: -4.859 eV per atom.

=====

[6]
Compound: Pm2CrH6
Source: the Alexandria database
Functional: GGA-PBE
Structure: relaxed

It has space group Fm-3m (No. 225), with a = 7.1793 Å, b = 7.1793 Å, c = 7.1793 Å, α = 90.00°, β = 90.00° and γ = 90.00°. The distinct sites, in fractional coordinates, are Pm at (0.2500, 0.2500, 0.2500), Cr at (0.0000, 0.0000, 0.0000) and H at (0.0000, 0.0000, 0.2420).

For the spin magnetization, the calculation gives 0.001 μB/cell. The calculation puts the volume at 10.3 Å³ per atom. As for the electronic total energy: -4.825 eV per atom.

=====

[7]
Compound: PmCr2H8
Source: the Alexandria database
Functional: GGA-PBE
Structure: relaxed

It has space group Amm2 (No. 38), with a = 4.5256 Å, b = 7.8980 Å, c = 4.4079 Å, α = 90.00°, β = 90.00° and γ = 90.00°. The distinct sites, in fractional coordinates, are Pm at (0.0000, 0.0000, 0.0000), Cr at (0.5000, 0.1743, 0.4832), H at (0.2284, 0.2316, 0.7549), H at (0.2566, 0.0000, 0.5020) and H at (0.5000, 0.1180, 0.0934).

For the spin magnetization, the calculation gives 4.841 μB/cell. The calculation puts the volume at 7.2 Å³ per atom. As for the electronic total energy: -4.792 eV per atom.

=====

[8]
Compound: PmCrH5
Source: the Alexandria database
Functional: GGA-PBE
Structure: relaxed

It has space group C2/c (No. 15), with a = 7.7246 Å, b = 4.9415 Å, c = 7.5480 Å, α = 90.00°, β = 119.18° and γ = 90.00°. The distinct sites, in fractional coordinates, are Pm at (0.0000, 0.9999, 0.2500), Cr at (0.0000, 0.5000, 0.0000), H at (0.0000, 0.4998, 0.2500), H at (0.1638, 0.2346, 0.0815) and H at (0.1651, 0.2361, 0.5829).

For the spin magnetization, the calculation gives 11.736 μB/cell. The calculation puts the volume at 9.0 Å³ per atom. As for the electronic total energy: -4.659 eV per atom.

=====

[9]
Compound: PrCr2H7
Source: the Alexandria database
Functional: GGA-PBE
Structure: relaxed

It has space group Cmmm (No. 65), with a = 5.1635 Å, b = 9.4376 Å, c = 3.4256 Å, α = 90.00°, β = 90.00° and γ = 90.00°. The distinct sites, in fractional coordinates, are Pr at (0.0000, 0.0000, 0.0000), Cr at (0.0000, 0.3176, 0.5000), H at (0.0000, 0.3587, 0.0000), H at (0.0000, 0.5000, 0.5000) and H at (0.1726, 0.1523, 0.5000).

For the spin magnetization, the calculation gives 9.847 μB/cell. The calculation puts the volume at 8.3 Å³ per atom. As for the electronic total energy: -4.863 eV per atom.

=====

[10]
Compound: CrH2Pt2
Source: the Alexandria database
Functional: GGA-PBE
Structure: relaxed

It has space group I4/mmm (No. 139), with a = 3.3323 Å, b = 3.3323 Å, c = 9.5041 Å, α = 90.00°, β = 90.00° and γ = 90.00°. The distinct sites, in fractional coordinates, are Cr at (0.0000, 0.0000, 0.0000), H at (0.0000, 0.5000, 0.2500) and Pt at (0.0000, 0.0000, 0.3548).

For the spin magnetization, the calculation gives 6.174 μB/cell. The calculation puts the volume at 10.6 Å³ per atom. The calculation puts the polymorph energy (0 for the lowest one) at 112 meV/atom.

=====

[11]
Compound: Cr2HPt
Source: the Alexandria database
Functional: GGA-PBE
Structure: relaxed

It has space group R-3m (No. 166, hexagonal axes), with a = 2.7042 Å, b = 2.7042 Å, c = 19.3793 Å, α = 90.00°, β = 90.00° and γ = 120.00°. The distinct sites, in fractional coordinates, are Cr at (0.0000, 0.0000, 0.2202), H at (0.0000, 0.0000, 0.5000) and Pt at (0.0000, 0.0000, 0.0000).

For the spin magnetization, the calculation gives 0.000 μB/cell. The calculation puts the volume at 10.2 Å³ per atom. The calculation puts the polymorph energy (0 for the lowest one) at 0 meV/atom.

=====

[12]
Compound: CrH2Pt
Source: the Alexandria database
Functional: GGA-PBE
Structure: relaxed

It has space group Fm-3m (No. 225), with a = 5.3211 Å, b = 5.3211 Å, c = 5.3211 Å, α = 90.00°, β = 90.00° and γ = 90.00°. The distinct sites, in fractional coordinates, are Cr at (0.0000, 0.0000, 0.0000), H at (0.2500, 0.2500, 0.2500) and Pt at (0.0000, 0.0000, 0.5000).

For the spin magnetization, the calculation gives 14.187 μB/cell. The calculation puts the volume at 9.4 Å³ per atom. The calculation puts the polymorph energy (0 for the lowest one) at 417 meV/atom.